A plane-wave DFT calculation with PBE was carried out for CaY2ScRh after structural relaxation.

a b c (Å): 5.480 5.480 5.118
angles (deg): 90.00 90.00 90.00
Space group P4/mmm (No. 123)
Inequivalent atoms, fractional coordinates:
Ca: 0.000 0.000 0.000 (multiplicity 1)
Y: 0.000 0.500 0.500 (multiplicity 2)
Sc: 0.500 0.500 0.000 (multiplicity 1)
Rh: 0.500 0.500 0.500 (multiplicity 1)

Calculated values
The density of states at the Fermi level is 1.29 states/eV per atom. Its raw total energy is -29.978 eV/cell.